Entry 1:
LiLa2Ag | the Alexandria database | PBE-GGA | relaxed; DFT formation energy = -0.06 eV/atom; polymorph energy (0 for the lowest one) = 0.017 eV per atom; total magnetization = 0.000 μB/atom
1.0
3.7461 0.0000 0.0000
0.0000 4.8638 0.0000
-1.8699 0.0000 6.1925
Li La Ag
1 2 1
Cartesian
0.0000 0.0000 0.0000 Li
0.0051 2.4319 4.9664 La
1.8806 0.0000 2.7029 La
0.0070 2.4319 1.5011 Ag

Entry 2:
MgSc3Cd4 | the Alexandria database | PBE-GGA | relaxed; DFT formation energy = -0.28 eV/atom; total magnetization = 0.011 μB/atom
1.0
-2.4626 2.4626 7.1633
2.4626 -2.4626 7.1633
2.4626 2.4626 -7.1633
Mg Sc Cd
1 3 4
Cartesian
0.0000 0.0000 0.0000 Mg
0.0000 0.0000 3.5121 Sc
0.0000 0.0000 7.1633 Sc
0.0000 0.0000 10.8144 Sc
2.4626 0.0000 1.7537 Cd
2.4626 0.0000 5.4096 Cd
0.0000 2.4626 1.7537 Cd
0.0000 2.4626 5.4096 Cd

Entry 3:
ThTlI6 | the Alexandria database | PBE-GGA | relaxed; energy relative to the elements, uncorrected = -6.4 eV/f.u.; polymorph energy (0 for the lowest one) = 0.047 eV per atom; total magnetization = 0.000 μB/atom
1.0
8.1643 -2.7500 0.0000
8.1643 2.7500 0.0000
-6.6511 0.0000 8.2276
Th Tl I
1 1 6
Cartesian
0.0000 0.0000 0.0000 Th
4.8388 0.0000 4.1138 Tl
-4.3144 0.0000 5.9852 I
1.6161 0.0000 2.6518 I
-0.3131 0.0000 8.1273 I
9.9907 0.0000 0.1004 I
8.0615 0.0000 5.5759 I
13.9920 0.0000 2.2424 I

Entry 4:
In2IrSe | the Alexandria database | PBE-GGA | relaxed; energy relative to the elements, uncorrected = 0.0 eV/f.u.; total magnetization = 0.000 μB/atom
1.0
-1.5320 2.3247 6.2439
1.5320 -2.3247 6.2439
1.5320 2.3247 -6.2439
In Ir Se
2 1 1
Cartesian
0.0000 0.0000 0.0000 In
0.0000 2.3247 2.4237 In
1.5320 0.0000 2.5295 Ir
0.0000 0.0000 4.6429 Se

> Which of these has the highest total magnetization?

MgSc3Cd4

> What is the formula in the third record?

ThTlI6